Entry from Alexandria via LeMat-Bulk: a relaxed structure of NiMoIr (PBE).

Results
Offset from the most stable computed form (kJ/mol of atoms): 19.9
Calculated density (g cm⁻³): 13.75
SG: No. 156
E_form (kcal/mol of atoms): -0.415

a = 2.723 Å, b = 2.723 Å, c = 6.526 Å
α = 90.00°, β = 90.00°, γ = 120.00°
Positions (direct):
Mo1 0.667 0.333 0.337
Ni1 0.333 0.667 0.665
Ir1 0.000 0.000 0.998